# 1
Below is a geometry-optimized CaPm2Ni structure, with properties calculated at the PBE level.

Output
Its energy of formation from the pure elements is -0.091 eV per atom. As for the space group: P4/mmm. Its density of states at the Fermi level is 4.784 states/eV/cell.

Unit cell a=3.540 b=3.540 c=9.469 alpha=90.00 beta=90.00 gamma=90.00
Element x y z (fractional)
Ca 0.000 0.000 0.000
Pm 0.500 0.500 0.328
Pm 0.500 0.500 0.672
Ni 0.000 0.000 0.500

# 2
Below is a geometry-optimized CaPmNi2 structure, with properties calculated at the PBE level.

Output
Its energy of formation from the pure elements is -0.147 eV per atom. As for the space group: Fm-3m. Its density of states at the Fermi level is 8.675 states/eV/cell.

Unit cell a=6.871 b=6.871 c=6.871 alpha=90.00 beta=90.00 gamma=90.00
Element x y z (fractional)
Ca 0.000 0.000 0.000
Ca 0.000 0.500 0.500
Ca 0.500 0.000 0.500
Ca 0.500 0.500 0.000
Pm 0.000 0.000 0.500
Pm 0.000 0.500 0.000
Pm 0.500 0.000 0.000
Pm 0.500 0.500 0.500
Ni 0.250 0.250 0.250
Ni 0.250 0.250 0.750
Ni 0.250 0.750 0.250
Ni 0.250 0.750 0.750
Ni 0.750 0.250 0.250
Ni 0.750 0.250 0.750
Ni 0.750 0.750 0.250
Ni 0.750 0.750 0.750

# 3
Below is a geometry-optimized CaPmNi structure, with properties calculated at the PBE level.

Output
Its energy of formation from the pure elements is -0.067 eV per atom. As for the space group: P3m1. Its density of states at the Fermi level is 3.068 states/eV/cell.

Unit cell a=3.977 b=3.977 c=6.619 alpha=90.00 beta=90.00 gamma=120.00
Element x y z (fractional)
Ca 0.000 0.000 0.000
Pm 0.333 0.667 0.474
Ni 0.667 0.333 0.257

# 4
Below is a geometry-optimized Ca2Pm3Ni2 structure, with properties calculated at the PBE level.

Output
Its energy of formation from the pure elements is -0.163 eV per atom. As for the space group: C2/m. Its density of states at the Fermi level is 10.423 states/eV/cell.

Unit cell a=12.761 b=3.829 c=9.240 alpha=90.00 beta=118.90 gamma=90.00
Element x y z (fractional)
Ca 0.170 0.000 0.305
Ca 0.330 0.500 0.695
Ca 0.670 0.500 0.305
Ca 0.830 0.000 0.695
Pm 0.000 0.500 0.500
Pm 0.121 0.500 0.936
Pm 0.379 0.000 0.064
Pm 0.500 0.000 0.500
Pm 0.621 0.000 0.936
Pm 0.879 0.500 0.064
Ni 0.164 0.000 0.748
Ni 0.336 0.500 0.252
Ni 0.664 0.500 0.748
Ni 0.836 0.000 0.252